Material: AsPt3S
Method: DFT, PBE
State: relaxed

abc: 4.682 4.682 4.682
angles: 90.00 90.00 90.00
Space group Pm-3m (No. 221)
Symmetry-distinct sites (fractional):
As1 0.000 0.000 0.000 (multiplicity 1)
Pt1 0.000 0.000 0.500 (multiplicity 3)
S1 0.500 0.500 0.500 (multiplicity 1)

## Properties
Energy relative to the lowest polymorph listed for this composition (eV per formula unit): 1.699
Total DFT energy (no corrections) (eV per atom): -4.542
Size of the total moment (Bohr magnetons per cell): 0.00
DOS(E_F) (states/eV/cell): 3.61